The following is a DFT calculation (GGA-PBE) of crystalline Er5AlSi2 at its relaxed geometry.

Cell: 7.5449 7.5449 8.6997 Å, 115.70 115.70 90.00°
With the nearest neighbours (Å) after each atom.
Fractional positions:
Er: 0.5287 0.6883 0.7170  3 Si 2.92-2.98, 2 Al 3.17
Er: 0.8117 0.9713 0.2830  3 Si 2.92-2.98, 2 Al 3.17
Er: 0.0000 0.0000 0.0000  4 Si 2.98
Er: 0.5000 0.5000 0.0000  4 Si 2.98
Er: 0.1883 0.0287 0.7170  3 Si 2.92-2.98, 2 Al 3.17
Er: 0.6883 0.1883 0.7170  3 Si 2.92-2.98, 2 Al 3.17
Er: 0.0287 0.5287 0.7170  3 Si 2.92-2.98, 2 Al 3.17
Er: 0.3117 0.8117 0.2830  3 Si 2.92-2.98, 2 Al 3.17
Er: 0.9713 0.4713 0.2830  3 Si 2.92-2.98, 2 Al 3.17
Er: 0.4713 0.3117 0.2830  3 Si 2.92-2.98, 2 Al 3.17
Al: 0.7500 0.7500 0.5000  10 Er 3.17-3.44
Al: 0.2500 0.2500 0.5000  10 Er 3.17-3.44
Si: 0.1263 0.3737 0.0000  1 Si 2.70, 8 Er 2.92-2.98
Si: 0.6263 0.1263 0.0000  1 Si 2.70, 8 Er 2.92-2.98
Si: 0.3737 0.8737 0.0000  1 Si 2.70, 8 Er 2.92-2.98
Si: 0.8737 0.6263 0.0000  1 Si 2.70, 8 Er 2.92-2.98

Values from the calculation:
- Energy relative to the elements, uncorrected: -558 meV per atom
- SG: I4/mcm (140)

---

The following is a DFT calculation (GGA-PBE) of crystalline Cu2SiAu at its relaxed geometry.

Cell: 3.2088 3.3787 5.2438 Å, 90.00 90.00 90.00°
With the nearest neighbours (Å) after each atom.
Fractional positions:
Au: 0.5000 0.5000 0.7465  6 Cu 2.62-2.74, 4 Si 2.71
Cu: 0.0000 0.0000 0.0233  1 Si 2.42, 4 Cu 2.61
Cu: 0.5000 0.5000 0.2459  4 Cu 2.61, 2 Au 2.62-2.63, 4 Si 2.64
Si: 0.0000 0.0000 0.4843  5 Cu 2.42-2.64, 4 Au 2.71

Values from the calculation:
- Energy relative to the elements, uncorrected: 64 meV per atom
- SG: Pmm2 (25)

---

The following is a DFT calculation (GGA-PBE) of crystalline Ho2ErTh6 at its relaxed geometry.

Cell: 9.4494 8.5120 11.0787 Å, 75.66 48.18 61.36°
With the nearest neighbours (Å) after each atom.
Fractional positions:
Ho: 0.8764 0.7291 0.9840  2 Ho 3.53-3.57, 2 Er 3.53-3.57, 8 Th 3.54-3.64
Ho: 0.5431 0.0625 0.3173  2 Ho 3.53-3.57, 2 Er 3.53-3.57, 8 Th 3.55-3.64
Ho: 0.1236 0.2709 0.0160  2 Ho 3.53-3.57, 2 Er 3.53-3.57, 8 Th 3.54-3.64
Ho: 0.4569 0.9375 0.6827  2 Ho 3.53-3.57, 2 Er 3.53-3.57, 8 Th 3.55-3.64
Er: 0.2099 0.3959 0.6505  4 Ho 3.53-3.57, 8 Th 3.54-3.64
Er: 0.7901 0.6041 0.3495  4 Ho 3.53-3.57, 8 Th 3.54-3.64
Th: 0.4435 0.5126 0.7543  7 Th 3.49-3.61, 2 Er 3.55-3.64, 3 Ho 3.55-3.64
Th: 0.9865 0.2891 0.5368  9 Th 3.49-3.61, 2 Er 3.54-3.58, 1 Ho 3.58
Th: 0.5565 0.4874 0.2457  7 Th 3.49-3.61, 2 Er 3.55-3.64, 3 Ho 3.55-3.64
Th: 0.0135 0.7109 0.4632  9 Th 3.49-3.61, 2 Er 3.54-3.58, 1 Ho 3.58
Th: 0.7765 0.1798 0.4216  7 Th 3.49-3.61, 2 Er 3.55-3.64, 3 Ho 3.55-3.64
Th: 0.6532 0.6222 0.8702  9 Th 3.49-3.61, 2 Ho 3.55-3.58, 1 Er 3.58
Th: 0.2235 0.8202 0.5784  7 Th 3.49-3.61, 2 Er 3.55-3.64, 3 Ho 3.55-3.64
Th: 0.3468 0.3778 0.1298  9 Th 3.49-3.61, 2 Ho 3.55-3.58, 1 Er 3.58
Th: 0.1097 0.8459 0.0883  7 Th 3.49-3.61, 4 Ho 3.55-3.64, 1 Er 3.62
Th: 0.3196 0.9555 0.2035  9 Th 3.49-3.61, 3 Ho 3.54-3.58
Th: 0.8903 0.1541 0.9117  7 Th 3.49-3.61, 4 Ho 3.55-3.64, 1 Er 3.62
Th: 0.6804 0.0445 0.7965  9 Th 3.49-3.61, 3 Ho 3.54-3.58

Values from the calculation:
- SG: P-1 (2)
- E_form: 4.44 kJ/mol of atoms

---

Going through the records in order, we get DOS at the Fermi energy values of 5.7 1.6 12.9 states/eV/f.u..
Going through the records in order, we get calculated volume values of 24.45 14.21 32.18 Å³ per atom.